First-principles (PBE-GGA) data for a relaxed structure of In2BrF2, as listed in the Alexandria database.

a = 6.9817 Å, b = 6.9817 Å, c = 6.9817 Å
α = 146.15°, β = 146.15°, γ = 48.62°
Sites, in units of the cell vectors:
In  0.1396  0.1396  0.0000
In  0.8604  0.8604  0.0000
Br  0.5000  0.5000  0.0000
F  0.2500  0.7500  0.5000
F  0.7500  0.2500  0.5000

## Properties
* Fermi-level density of states: 0.954 states/eV per atom
* total energy: -3.624 eV per atom
* total magnetic moment: 0.00 μB per cell

=====

First-principles (PBE-GGA) data for a relaxed structure of PrZn11Rh, as listed in the Alexandria database.

a = 6.9103 Å, b = 6.9103 Å, c = 6.9060 Å
α = 97.81°, β = 97.81°, γ = 136.70°
Sites, in units of the cell vectors:
Pr  0.0000  0.0000  0.0000
Zn  0.0000  0.5000  0.0000
Zn  0.0103  0.6615  0.6409
Zn  0.2763  0.4980  0.7772
Zn  0.3385  0.9897  0.3591
Zn  0.4980  0.2763  0.7772
Zn  0.5000  0.0000  0.0000
Zn  0.5000  0.5000  0.5000
Zn  0.5020  0.7237  0.2228
Zn  0.6615  0.0103  0.6409
Zn  0.7237  0.5020  0.2228
Zn  0.9897  0.3385  0.3591
Rh  0.0000  0.0000  0.5000

## Properties
* Fermi-level density of states: 0.341 states/eV per atom
* total energy: -2.266 eV per atom
* formation energy from the elements: -255 meV/atom
* total magnetic moment: 0.00 μB per cell

=====

First-principles (PBE-GGA) data for a relaxed structure of Zr2MoOs, as listed in the Alexandria database.

a = 9.4930 Å, b = 9.4930 Å, c = 9.4930 Å
α = 18.58°, β = 18.58°, γ = 18.58°
Sites, in units of the cell vectors:
Zr  0.0000  0.0000  0.0000
Zr  0.2382  0.2382  0.2382
Mo  0.4852  0.4852  0.4852
Os  0.7495  0.7495  0.7495

## Properties
* Fermi-level density of states: 1.327 states/eV per atom
* total energy: -9.551 eV per atom
* formation energy from the elements: 238 meV/atom
* total magnetic moment: 0.00 μB per cell

=====

First-principles (PBE-GGA) data for a relaxed structure of Zr2SiSnTe, as listed in the Alexandria database.

a = 5.1083 Å, b = 5.1083 Å, c = 4.9905 Å
α = 90.00°, β = 90.00°, γ = 90.00°
Sites, in units of the cell vectors:
Zr  0.0000  0.5000  0.0000
Zr  0.5000  0.0000  0.0000
Si  0.0000  0.0000  0.0000
Sn  0.5000  0.5000  0.5000
Te  0.0000  0.0000  0.5000

## Properties
* Fermi-level density of states: 0.910 states/eV per atom
* total energy: -5.641 eV per atom
* total magnetic moment: 0.00 μB per cell

=====

First-principles (PBE-GGA) data for a relaxed structure of TiAl5Ni4, as listed in the Alexandria database.

a = 2.8867 Å, b = 2.8867 Å, c = 15.4886 Å
α = 90.00°, β = 90.00°, γ = 90.00°
Sites, in units of the cell vectors:
Ti  0.0000  0.0000  0.0000
Al  0.5000  0.5000  0.1266
Al  0.5000  0.5000  0.3136
Al  0.5000  0.5000  0.5000
Al  0.5000  0.5000  0.6864
Al  0.5000  0.5000  0.8734
Ni  0.0000  0.0000  0.2202
Ni  0.0000  0.0000  0.4068
Ni  0.0000  0.0000  0.5932
Ni  0.0000  0.0000  0.7798

## Properties
* Fermi-level density of states: 0.582 states/eV per atom
* total energy: -5.585 eV per atom
* formation energy from the elements: -612 meV/atom
* total magnetic moment: 0.00 μB per cell

=====

First-principles (PBE-GGA) data for a relaxed structure of MgZrSe, as listed in the Alexandria database.

a = 4.5938 Å, b = 4.5938 Å, c = 3.7528 Å
α = 90.00°, β = 90.00°, γ = 120.00°
Sites, in units of the cell vectors:
Mg  0.0000  0.0000  0.0000
Zr  0.3333  0.6667  0.5000
Se  0.6667  0.3333  0.5000

## Properties
* Fermi-level density of states: 1.275 states/eV per atom
* total energy: -4.898 eV per atom
* total magnetic moment: 0.00 μB per cell

=====

First-principles (PBE-GGA) data for a relaxed structure of NiSe2Br, as listed in the Alexandria database.

a = 4.0208 Å, b = 6.5258 Å, c = 8.4864 Å
α = 87.25°, β = 77.85°, γ = 78.93°
Sites, in units of the cell vectors:
Ni  0.0000  0.0000  0.0000
Ni  0.0633  0.4518  0.1704
Se  0.2677  0.7665  0.1805
Se  0.4311  0.2185  0.9549
Se  0.6319  0.2332  0.2159
Se  0.7972  0.6850  0.9887
Br  0.2457  0.9474  0.7171
Br  0.8144  0.5122  0.4520

## Properties
* Fermi-level density of states: 0.004 states/eV per atom
* total energy: -3.793 eV per atom
* total magnetic moment: 0.00 μB per cell

=====

First-principles (PBE-GGA) data for a relaxed structure of Y2Zn3, as listed in the Alexandria database.

a = 4.8679 Å, b = 4.8679 Å, c = 6.0653 Å
α = 90.00°, β = 90.00°, γ = 120.00°
Sites, in units of the cell vectors:
Y  0.3333  0.6667  0.3172
Y  0.6667  0.3333  0.6828
Zn  0.0000  0.0000  0.5000
Zn  0.3333  0.6667  0.8307
Zn  0.6667  0.3333  0.1693

## Properties
* Fermi-level density of states: 0.780 states/eV per atom
* total energy: -3.406 eV per atom
* formation energy from the elements: -56 meV/atom
* total magnetic moment: 0.00 μB per cell